A relaxed structure of CsInAuCl6, computed with GGA-PBE.

```
data_CsInAuCl6
_chemical_formula_sum 'Cs1 In1 Au1 Cl6'
_symmetry_space_group_name_H-M 'P 1'
_symmetry_Int_Tables_number 1
_cell_length_a 6.6896
_cell_length_b 7.3798
_cell_length_c 7.7264
_cell_angle_alpha 95.99
_cell_angle_beta 93.36
_cell_angle_gamma 56.57
loop_
_symmetry_equiv_pos_as_xyz
'x,y,z'
loop_
_atom_site_label
_atom_site_fract_x
_atom_site_fract_y
_atom_site_fract_z
Au1 0.6619 0.6690 0.5002
Cl1 0.9896 0.3858 0.3080
Cl2 0.6133 0.3442 0.7293
Cl3 0.3544 0.0181 0.6565
Cl4 0.3533 0.6280 0.3437
Cs1 0.0667 0.9672 0.0002
Cl5 0.6113 0.0433 0.2698
In1 0.3585 0.3206 0.4999
Cl6 0.9908 0.6237 0.6924
```

Computed properties:
Its space group is No. 1. For the energy, the calculation gives -3.00 eV per atom. As for the energy relative to the elements, uncorrected: -1.01 eV/atom.

***

A relaxed structure of Sr4Hg3Bi8, computed with GGA-PBE.

```
data_Sr4Hg3Bi8
_chemical_formula_sum 'Sr4 Hg3 Bi8'
_symmetry_space_group_name_H-M 'P 1'
_symmetry_Int_Tables_number 1
_cell_length_a 4.8583
_cell_length_b 4.8583
_cell_length_c 20.5369
_cell_angle_alpha 90.00
_cell_angle_beta 90.00
_cell_angle_gamma 90.00
loop_
_symmetry_equiv_pos_as_xyz
'x,y,z'
loop_
_atom_site_label
_atom_site_fract_x
_atom_site_fract_y
_atom_site_fract_z
Bi1 0.0000 0.5000 0.9091
Bi2 0.5000 0.5000 0.7531
Bi3 0.5000 0.5000 0.2469
Bi4 0.0000 0.0000 0.7530
Hg1 0.0000 0.0000 0.5000
Bi5 0.5000 0.0000 0.6078
Hg2 0.5000 0.5000 0.5000
Sr1 0.0000 0.5000 0.6214
Hg3 0.0000 0.0000 0.0000
Bi6 0.0000 0.0000 0.2470
Bi7 0.5000 0.0000 0.0909
Bi8 0.0000 0.5000 0.3922
Sr2 0.0000 0.5000 0.1129
Sr3 0.5000 0.0000 0.8871
Sr4 0.5000 0.0000 0.3786
```

Computed properties:
Its space group is No. 115. For the energy, the calculation gives -3.01 eV per atom. The calculation puts the formation enthalpy at 0 K at -432 meV/atom.

***

A relaxed structure of HoNi5Au, computed with GGA-PBE.

```
data_HoNi5Au
_chemical_formula_sum 'Ho4 Ni20 Au4'
_symmetry_space_group_name_H-M 'P 1'
_symmetry_Int_Tables_number 1
_cell_length_a 4.8412
_cell_length_b 7.9607
_cell_length_c 10.1840
_cell_angle_alpha 90.00
_cell_angle_beta 90.00
_cell_angle_gamma 90.00
loop_
_symmetry_equiv_pos_as_xyz
'x,y,z'
loop_
_atom_site_label
_atom_site_fract_x
_atom_site_fract_y
_atom_site_fract_z
Ni1 0.2500 0.6868 0.2445
Ni2 0.4989 0.5678 0.8151
Au1 0.7500 0.1355 0.1378
Ni3 0.9989 0.9322 0.3151
Ni4 0.2500 0.1868 0.2555
Ni5 0.0011 0.5678 0.8151
Ho1 0.2500 0.7431 0.5604
Ni6 0.2500 0.5910 0.0187
Ni7 0.2500 0.4471 0.3917
Ni8 0.5011 0.4322 0.1849
Ni9 0.7500 0.4090 0.9813
Ni10 0.7500 0.8132 0.7445
Ni11 0.0011 0.0678 0.6849
Ni12 0.9989 0.4322 0.1849
Ni13 0.2500 0.9471 0.1083
Ni14 0.4989 0.0678 0.6849
Au2 0.7500 0.6355 0.3622
Ho2 0.2500 0.2431 0.9396
Ho3 0.7500 0.7569 0.0604
Ni15 0.7500 0.0529 0.8917
Au3 0.2500 0.3645 0.6378
Ho4 0.7500 0.2569 0.4396
Ni16 0.7500 0.5529 0.6083
Ni17 0.7500 0.3132 0.7555
Ni18 0.2500 0.0910 0.4813
Au4 0.2500 0.8645 0.8622
Ni19 0.5011 0.9322 0.3151
Ni20 0.7500 0.9090 0.5187
```

Computed properties:
Its space group is No. 62. For the energy, the calculation gives -5.54 eV per atom. The calculation puts the formation enthalpy at 0 K at -285 meV/atom.

***

A relaxed structure of Ce2ScTl, computed with GGA-PBE.

```
data_Ce2ScTl
_chemical_formula_sum 'Ce2 Sc1 Tl1'
_symmetry_space_group_name_H-M 'P 1'
_symmetry_Int_Tables_number 1
_cell_length_a 4.2004
_cell_length_b 4.2004
_cell_length_c 6.4288
_cell_angle_alpha 90.00
_cell_angle_beta 90.00
_cell_angle_gamma 90.00
loop_
_symmetry_equiv_pos_as_xyz
'x,y,z'
loop_
_atom_site_label
_atom_site_fract_x
_atom_site_fract_y
_atom_site_fract_z
Sc1 0.5000 0.5000 0.0000
Ce1 0.0000 0.0000 0.2764
Tl1 0.5000 0.5000 0.5000
Ce2 0.0000 0.0000 0.7236
```

Computed properties:
The calculation puts the energy relative to the lowest polymorph listed for this composition at 0.1678 eV per atom. Its space group is No. 123. For the energy, the calculation gives -5.16 eV per atom. The calculation puts the formation enthalpy at 0 K at -24 meV/atom.

***

A relaxed structure of LaY5Cd3, computed with GGA-PBE.

```
data_LaY5Cd3
_chemical_formula_sum 'La2 Y10 Cd6'
_symmetry_space_group_name_H-M 'P 1'
_symmetry_Int_Tables_number 1
_cell_length_a 7.0040
_cell_length_b 9.2897
_cell_length_c 9.2895
_cell_angle_alpha 120.00
_cell_angle_beta 90.00
_cell_angle_gamma 90.00
loop_
_symmetry_equiv_pos_as_xyz
'x,y,z'
loop_
_atom_site_label
_atom_site_fract_x
_atom_site_fract_y
_atom_site_fract_z
Y1 0.2500 0.3343 0.3343
Y2 0.7500 0.0000 0.3343
Y3 0.7500 0.6657 0.6657
Cd1 0.7500 0.0000 0.6608
Y4 0.7500 0.3343 0.0000
Y5 0.0000 0.6667 0.3334
Cd2 0.2500 0.0000 0.3392
Y6 0.5000 0.6667 0.3334
Cd3 0.2500 0.6609 0.6608
Cd4 0.7500 0.6608 0.0000
Cd5 0.7500 0.3391 0.3392
Y7 0.0000 0.3333 0.6666
La1 0.5000 0.0000 0.0000
Y8 0.2500 0.0000 0.6657
Y9 0.2500 0.6657 0.0000
Cd6 0.2500 0.3392 0.0000
La2 0.0000 0.0000 0.0000
Y10 0.5000 0.3333 0.6666
```

Computed properties:
Its space group is No. 193. For the energy, the calculation gives -4.63 eV per atom. The calculation puts the formation enthalpy at 0 K at -188 meV/atom.

***

A relaxed structure of CsBS2, computed with GGA-PBE.

```
data_CsBS2
_chemical_formula_sum 'Cs2 B2 S4'
_symmetry_space_group_name_H-M 'P 1'
_symmetry_Int_Tables_number 1
_cell_length_a 12.6054
_cell_length_b 12.6054
_cell_length_c 5.0867
_cell_angle_alpha 90.00
_cell_angle_beta 90.00
_cell_angle_gamma 156.89
loop_
_symmetry_equiv_pos_as_xyz
'x,y,z'
loop_
_atom_site_label
_atom_site_fract_x
_atom_site_fract_y
_atom_site_fract_z
B1 0.8648 0.1352 0.7500
S1 0.0677 0.9323 0.2500
B2 0.1352 0.8648 0.2500
S2 0.7970 0.2030 0.7500
Cs1 0.6398 0.3602 0.7500
Cs2 0.3602 0.6398 0.2500
S3 0.9323 0.0677 0.7500
S4 0.2030 0.7970 0.2500
```

Computed properties:
The calculation puts the energy relative to the lowest polymorph listed for this composition at 0.0887 eV per atom. Its space group is No. 63. For the energy, the calculation gives -4.75 eV per atom. As for the energy relative to the elements, uncorrected: -0.80 eV/atom.

***

A relaxed structure of NaTaIO5, computed with GGA-PBE.

```
data_NaTaIO5
_chemical_formula_sum 'Na2 Ta2 I2 O10'
_symmetry_space_group_name_H-M 'P 1'
_symmetry_Int_Tables_number 1
_cell_length_a 6.3491
_cell_length_b 6.3491
_cell_length_c 7.8661
_cell_angle_alpha 115.57
_cell_angle_beta 115.57
_cell_angle_gamma 99.92
loop_
_symmetry_equiv_pos_as_xyz
'x,y,z'
loop_
_atom_site_label
_atom_site_fract_x
_atom_site_fract_y
_atom_site_fract_z
Ta1 0.0000 0.0000 0.0000
O1 0.7224 0.1204 0.4320
O2 0.6283 0.7139 0.7722
O3 0.8796 0.2776 0.0680
O4 0.9924 0.0076 0.7500
I1 0.6957 0.3043 0.2500
Na1 0.3211 0.6789 0.2500
O5 0.3717 0.2861 0.2278
O6 0.7139 0.6283 0.2722
O7 0.0076 0.9924 0.2500
O8 0.2861 0.3717 0.7278
I2 0.3043 0.6957 0.7500
Na2 0.6789 0.3211 0.7500
Ta2 0.0000 0.0000 0.5000
O9 0.2776 0.8796 0.5680
O10 0.1204 0.7224 0.9320
```

Computed properties:
Its space group is No. 15. For the energy, the calculation gives -6.54 eV per atom. As for the energy relative to the elements, uncorrected: -1.60 eV/atom.

***

A relaxed structure of KCaI2Cl, computed with GGA-PBE.

```
data_KCaI2Cl
_chemical_formula_sum 'K2 Ca2 I4 Cl2'
_symmetry_space_group_name_H-M 'P 1'
_symmetry_Int_Tables_number 1
_cell_length_a 4.6725
_cell_length_b 8.6457
_cell_length_c 10.9973
_cell_angle_alpha 106.33
_cell_angle_beta 90.00
_cell_angle_gamma 90.00
loop_
_symmetry_equiv_pos_as_xyz
'x,y,z'
loop_
_atom_site_label
_atom_site_fract_x
_atom_site_fract_y
_atom_site_fract_z
K1 0.7500 0.3205 0.5813
Ca1 0.2500 0.8501 0.8265
I1 0.7500 0.9446 0.6590
I2 0.2500 0.2160 0.9991
I3 0.7500 0.7840 0.0009
I4 0.2500 0.0554 0.3410
Cl1 0.2500 0.5550 0.6684
K2 0.2500 0.6795 0.4187
Cl2 0.7500 0.4450 0.3316
Ca2 0.7500 0.1499 0.1735
```

Computed properties:
The calculation puts the energy relative to the lowest polymorph listed for this composition at 0.0000 eV per atom. Its space group is No. 11. For the energy, the calculation gives -3.38 eV per atom. As for the energy relative to the elements, uncorrected: -1.77 eV/atom.

***

A relaxed structure of Mg5Sb, computed with GGA-PBE.

```
data_Mg5Sb
_chemical_formula_sum 'Mg5 Sb1'
_symmetry_space_group_name_H-M 'P 1'
_symmetry_Int_Tables_number 1
_cell_length_a 5.7937
_cell_length_b 5.7937
_cell_length_c 5.2202
_cell_angle_alpha 90.00
_cell_angle_beta 90.00
_cell_angle_gamma 120.00
loop_
_symmetry_equiv_pos_as_xyz
'x,y,z'
loop_
_atom_site_label
_atom_site_fract_x
_atom_site_fract_y
_atom_site_fract_z
Sb1 0.0000 0.0000 0.0000
Mg1 0.5000 0.0000 0.5000
Mg2 0.6667 0.3333 0.0000
Mg3 0.0000 0.5000 0.5000
Mg4 0.3333 0.6667 0.0000
Mg5 0.5000 0.5000 0.5000
```

Computed properties:
The calculation puts the energy relative to the lowest polymorph listed for this composition at 0.2329 eV per atom. Its space group is No. 191. For the energy, the calculation gives -1.89 eV per atom. As for the energy relative to the elements, uncorrected: 0.13 eV/atom.

***

A relaxed structure of AcTlHg3, computed with GGA-PBE.

```
data_AcTlHg3
_chemical_formula_sum 'Ac2 Tl2 Hg6'
_symmetry_space_group_name_H-M 'P 1'
_symmetry_Int_Tables_number 1
_cell_length_a 5.2437
_cell_length_b 8.7340
_cell_length_c 6.8679
_cell_angle_alpha 105.21
_cell_angle_beta 90.00
_cell_angle_gamma 107.47
loop_
_symmetry_equiv_pos_as_xyz
'x,y,z'
loop_
_atom_site_label
_atom_site_fract_x
_atom_site_fract_y
_atom_site_fract_z
Hg1 0.9153 0.8306 0.5623
Ac1 0.1315 0.2630 0.9798
Tl1 0.5132 0.0264 0.2397
Tl2 0.4868 0.9736 0.7603
Hg2 0.3281 0.6562 0.3060
Ac2 0.8685 0.7370 0.0202
Hg3 0.7198 0.4397 0.2817
Hg4 0.0847 0.1694 0.4377
Hg5 0.2802 0.5603 0.7183
Hg6 0.6719 0.3438 0.6940
```

Computed properties:
The calculation puts the energy relative to the lowest polymorph listed for this composition at 0.0401 eV per atom. Its space group is No. 12. For the energy, the calculation gives -1.76 eV per atom. The calculation puts the formation enthalpy at 0 K at -279 meV/atom.

***

A relaxed structure of AcIn2Pd5, computed with GGA-PBE.

```
data_AcIn2Pd5
_chemical_formula_sum 'Ac1 In2 Pd5'
_symmetry_space_group_name_H-M 'P 1'
_symmetry_Int_Tables_number 1
_cell_length_a 4.3304
_cell_length_b 5.9385
_cell_length_c 7.4269
_cell_angle_alpha 113.57
_cell_angle_beta 106.95
_cell_angle_gamma 90.00
loop_
_symmetry_equiv_pos_as_xyz
'x,y,z'
loop_
_atom_site_label
_atom_site_fract_x
_atom_site_fract_y
_atom_site_fract_z
Pd1 0.3851 0.1520 0.7702
Pd2 0.6149 0.3817 0.2298
Pd3 0.3851 0.6183 0.7702
Pd4 0.0000 0.5000 0.0000
Pd5 0.6149 0.8480 0.2298
In1 0.7851 0.2851 0.5702
Ac1 0.0000 0.0000 0.0000
In2 0.2149 0.7149 0.4298
```

Computed properties:
Its space group is No. 71. For the energy, the calculation gives -5.03 eV per atom. The calculation puts the formation enthalpy at 0 K at -588 meV/atom.

***

A relaxed structure of La2TbSm, computed with GGA-PBE.

```
data_La2TbSm
_chemical_formula_sum 'La2 Tb1 Sm1'
_symmetry_space_group_name_H-M 'P 1'
_symmetry_Int_Tables_number 1
_cell_length_a 3.6828
_cell_length_b 3.6828
_cell_length_c 12.0392
_cell_angle_alpha 81.20
_cell_angle_beta 81.20
_cell_angle_gamma 60.00
loop_
_symmetry_equiv_pos_as_xyz
'x,y,z'
loop_
_atom_site_label
_atom_site_fract_x
_atom_site_fract_y
_atom_site_fract_z
Tb1 0.0000 0.0000 0.0000
La1 0.2507 0.2507 0.2478
Sm1 0.5000 0.5000 0.5000
La2 0.7493 0.7493 0.7522
```

Computed properties:
The calculation puts the energy relative to the lowest polymorph listed for this composition at 0.0000 eV per atom. Its space group is No. 166. For the energy, the calculation gives -4.79 eV per atom. The calculation puts the formation enthalpy at 0 K at 10 meV/atom.

***

What is the formula in the fifth record?
LaY5Cd3